No. 1
# Na2TiSb2 | Alexandria via LeMat-Bulk | PBE-GGA | optimized geometry
data_Na2TiSb2
_chemical_formula_sum 'Na4 Ti2 Sb4'
_cell_length_a 7.325
_cell_length_b 7.325
_cell_length_c 5.038
_cell_angle_alpha 90.00
_cell_angle_beta 90.00
_cell_angle_gamma 90.00
_symmetry_space_group_name_H-M 'P 4/m b m'
_symmetry_Int_Tables_number 127
_symmetry_space_group_name_Hall '-P 4 2ab'
loop_
_atom_site_label
_atom_site_fract_x
_atom_site_fract_y
_atom_site_fract_z
Na1 0.166 0.334 0.000
Ti1 0.000 0.000 0.500
Sb1 0.145 0.645 0.500
# - formation energy from raw total energies (eV/atom) = -0.21
# - M_tot (μB per formula unit) = 1.98

No. 2
# LaNdDy14 | Alexandria via LeMat-Bulk | PBE-GGA | optimized geometry
data_LaNdDy14
_chemical_formula_sum 'La2 Nd2 Dy28'
_cell_length_a 11.537
_cell_length_b 7.170
_cell_length_c 12.381
_cell_angle_alpha 90.00
_cell_angle_beta 90.00
_cell_angle_gamma 90.00
_symmetry_space_group_name_H-M 'A m m 2'
_symmetry_Int_Tables_number 38
_symmetry_space_group_name_Hall 'A 2 -2'
loop_
_atom_site_label
_atom_site_fract_x
_atom_site_fract_y
_atom_site_fract_z
La1 0.000 0.000 0.000
Nd1 0.000 0.000 0.501
Dy1 0.000 0.250 0.251
Dy2 0.251 0.000 0.668
Dy3 0.253 0.000 0.168
Dy4 0.254 0.250 0.417
Dy5 0.500 0.000 0.334
Dy6 0.500 0.000 0.833
Dy7 0.500 0.249 0.584
# - calculated formation energy (eV per formula unit) = 0.14
# - M_tot (μB per formula unit) = 0.00

No. 3
# CsSeBr5 | Alexandria via LeMat-Bulk | PBE-GGA | optimized geometry
data_CsSeBr5
_chemical_formula_sum 'Cs2 Se2 Br10'
_cell_length_a 8.416
_cell_length_b 10.780
_cell_length_c 7.069
_cell_angle_alpha 90.00
_cell_angle_beta 90.00
_cell_angle_gamma 90.00
_symmetry_space_group_name_H-M 'I m m 2'
_symmetry_Int_Tables_number 44
_symmetry_space_group_name_Hall 'I 2 -2'
loop_
_atom_site_label
_atom_site_fract_x
_atom_site_fract_y
_atom_site_fract_z
Cs1 0.000 0.000 0.000
Se1 0.000 0.500 0.978
Br1 0.000 0.308 0.771
Br2 0.000 0.500 0.333
Br3 0.190 0.000 0.486
# - formation energy from raw total energies (eV/atom) = -0.58
# - M_tot (μB per formula unit) = 0.00